CePuGa2: optimized geometry, PBE.

Unit cell a=3.172 b=3.172 c=8.797 alpha=90.00 beta=90.00 gamma=90.00
Atoms (fractional coordinates):
Ce (0.000, 0.000, 0.000)
Pu (0.000, 0.000, 0.500)
Ga (0.500, 0.500, 0.253)
Ga (0.500, 0.500, 0.747)

## Properties
**Energy above the most stable polymorph in this dataset**: 15.4 meV/atom
**Spin magnetization**: 5.29 Bohr magnetons per cell
**Crystal system**: tetragonal
**VASP energy**: -27.89 eV/cell
**DFT formation energy**: -0.39 eV per atom


CePu4Ga3: optimized geometry, PBE.

Unit cell a=6.233 b=3.009 c=9.903 alpha=90.00 beta=105.98 gamma=90.00
Atoms (fractional coordinates):
Ce (0.000, 0.000, 0.000)
Pu (0.119, 0.000, 0.747)
Pu (0.411, 0.000, 0.278)
Pu (0.589, 0.000, 0.722)
Pu (0.881, 0.000, 0.253)
Ga (0.223, 0.500, 0.497)
Ga (0.500, 0.500, 0.000)
Ga (0.777, 0.500, 0.503)

## Properties
**Spin magnetization**: 22.28 Bohr magnetons per cell
**Crystal system**: monoclinic
**VASP energy**: -73.50 eV/cell
**DFT formation energy**: -0.15 eV per atom


Ce6PuGa2: optimized geometry, PBE.

Unit cell a=6.934 b=6.934 c=6.934 alpha=60.00 beta=60.00 gamma=60.00
Atoms (fractional coordinates):
Ce (0.249, 0.249, 0.751)
Ce (0.249, 0.751, 0.249)
Ce (0.249, 0.751, 0.751)
Ce (0.751, 0.249, 0.249)
Ce (0.751, 0.249, 0.751)
Ce (0.751, 0.751, 0.249)
Pu (0.000, 0.000, 0.000)
Ga (0.250, 0.250, 0.250)
Ga (0.750, 0.750, 0.750)

## Properties
**Energy above the most stable polymorph in this dataset**: 0.0 meV/atom
**Spin magnetization**: 0.00 Bohr magnetons per cell
**Crystal system**: cubic
**VASP energy**: -58.69 eV/cell
**DFT formation energy**: -0.30 eV per atom


CePuGa: optimized geometry, PBE.

Unit cell a=10.509 b=10.509 c=10.509 alpha=21.73 beta=21.73 gamma=21.73
Atoms (fractional coordinates):
Ce (0.076, 0.076, 0.076)
Ce (0.924, 0.924, 0.924)
Pu (0.177, 0.177, 0.177)
Pu (0.823, 0.823, 0.823)
Ga (0.323, 0.323, 0.323)
Ga (0.677, 0.677, 0.677)

## Properties
**Energy above the most stable polymorph in this dataset**: 304.7 meV/atom
**Spin magnetization**: 0.36 Bohr magnetons per cell
**Crystal system**: trigonal
**VASP energy**: -46.59 eV/cell
**DFT formation energy**: 0.00 eV per atom